Here is an optimized crystal structure of Nd12ZnRu6 from Alexandria. Energies are from PBE.

Properties
* V: 1674 Å³/cell
* crystal system: trigonal
* formation energy: -0.063 eV/atom
* spin magnetization: 0.000 μB/atom

a b c (Å): 12.9833 12.9833 11.4654
angles (deg): 90.00 90.00 120.00
Space group R-3 (No. 148, hexagonal axes)
Unique sites:
Nd1 0.0301 0.8255 0.3836 (multiplicity 18)
Nd2 0.0319 0.8142 0.8859 (multiplicity 18)
Zn1 0.0000 0.0000 0.0000 (multiplicity 3)
Ru1 0.0475 0.7880 0.6514 (multiplicity 18)